# RbInW2O8 GGA+U optimized geometry
data_RbInW2O8
_cell_length_a 5.9801
_cell_length_b 5.9801
_cell_length_c 7.8593
_cell_angle_alpha 90.00
_cell_angle_beta 90.00
_cell_angle_gamma 120.00
_space_group_name_H-M_alt 'P -3 m 1'
_space_group_IT_number 164
_space_group_name_Hall '-P 3 2"'
loop_
_atom_site_label
_atom_site_type_symbol
_atom_site_fract_x
_atom_site_fract_y
_atom_site_fract_z
_atom_site_occupancy
Rb1 Rb 0.0000 0.0000 0.0000 1
In1 In 0.0000 0.0000 0.5000 1
W1 W 0.3333 0.6667 0.7369 1
O1 O 0.1654 0.3308 0.6663 1
O2 O 0.3333 0.6667 0.9628 1
# calculated total energy = -80.6 eV per cell
# crystal system = trigonal